# 1
# Pm3WC4 (PBE-GGA, optimized geometry)
data_Pm3WC4
_cell_length_a 7.962
_cell_length_b 6.934
_cell_length_c 5.531
_cell_angle_alpha 90.00
_cell_angle_beta 90.00
_cell_angle_gamma 90.00
_space_group_name_H-M_alt 'P m n 21'
_space_group_IT_number 31
loop_
_space_group_symop_operation_xyz
'x,y,z'
'-x+1/2,-y,z+1/2'
'-x,y,z'
'x+1/2,-y,z+1/2'
loop_
_atom_site_label
_atom_site_fract_x
_atom_site_fract_y
_atom_site_fract_z
Pm1 0.000 0.146 0.000
Pm2 0.247 0.329 0.500
W1 0.000 0.824 0.474
C1 0.000 0.109 0.543
C2 0.000 0.819 0.125
C3 0.219 0.688 0.546
# * DOS(E_F): 11.1 states/eV/cell
# * formation energy: 0.04 eV per atom
# * size of the total moment: 0.000 μB per atom

=====

# 2
# PmWC (PBE-GGA, optimized geometry)
data_PmWC
_cell_length_a 11.897
_cell_length_b 3.253
_cell_length_c 6.421
_cell_angle_alpha 90.00
_cell_angle_beta 117.32
_cell_angle_gamma 90.00
_space_group_name_H-M_alt 'C 1 2/m 1'
_space_group_IT_number 12
loop_
_space_group_symop_operation_xyz
'x,y,z'
'-x,-y,-z'
'-x,y,-z'
'x,-y,z'
'x+1/2,y+1/2,z'
'-x+1/2,-y+1/2,-z'
'-x+1/2,y+1/2,-z'
'x+1/2,-y+1/2,z'
loop_
_atom_site_label
_atom_site_fract_x
_atom_site_fract_y
_atom_site_fract_z
Pm1 0.102 0.000 0.265
W1 0.179 0.000 0.823
C1 0.119 0.500 0.947
# * DOS(E_F): 6.4 states/eV/cell
# * formation energy: 0.26 eV per atom
# * size of the total moment: 0.000 μB per atom

=====

# 3
# Pm4WC5 (PBE-GGA, optimized geometry)
data_Pm4WC5
_cell_length_a 7.868
_cell_length_b 7.868
_cell_length_c 5.342
_cell_angle_alpha 90.00
_cell_angle_beta 90.00
_cell_angle_gamma 90.00
_space_group_name_H-M_alt 'I 4'
_space_group_IT_number 79
loop_
_space_group_symop_operation_xyz
'x,y,z'
'-y,x,z'
'-x,-y,z'
'y,-x,z'
'x+1/2,y+1/2,z+1/2'
'-y+1/2,x+1/2,z+1/2'
'-x+1/2,-y+1/2,z+1/2'
'y+1/2,-x+1/2,z+1/2'
loop_
_atom_site_label
_atom_site_fract_x
_atom_site_fract_y
_atom_site_fract_z
Pm1 0.101 0.298 0.000
W1 0.000 0.000 0.457
C1 0.000 0.000 0.098
C2 0.087 0.266 0.506
# * DOS(E_F): 14.6 states/eV/cell
# * formation energy: 0.05 eV per atom
# * size of the total moment: 0.000 μB per atom

=====

# 4
# PmW2C3 (PBE-GGA, optimized geometry)
data_PmW2C3
_cell_length_a 8.413
_cell_length_b 8.731
_cell_length_c 5.507
_cell_angle_alpha 90.00
_cell_angle_beta 90.00
_cell_angle_gamma 90.00
_space_group_name_H-M_alt 'C m c m'
_space_group_IT_number 63
_space_group_name_Hall '-C 2c 2'
loop_
_atom_site_label
_atom_site_fract_x
_atom_site_fract_y
_atom_site_fract_z
Pm1 0.000 0.144 0.250
W1 0.164 0.500 0.000
C1 0.000 0.414 0.750
C2 0.190 0.088 0.750
# * DOS(E_F): 7.0 states/eV/cell
# * formation energy: 0.56 eV per atom
# * size of the total moment: 0.000 μB per atom

=====

# 5
# PmWC2 (PBE-GGA, optimized geometry)
data_PmWC2
_cell_length_a 3.2167
_cell_length_b 3.2167
_cell_length_c 17.9408
_cell_angle_alpha 90.00
_cell_angle_beta 90.00
_cell_angle_gamma 120.00
_space_group_name_H-M_alt 'R 3 m'
_space_group_IT_number 160
_space_group_name_Hall 'R 3 -2"'
loop_
_atom_site_label
_atom_site_fract_x
_atom_site_fract_y
_atom_site_fract_z
Pm1 0.0000 0.0000 0.0000
W1 0.0000 0.0000 0.8252
C1 0.0000 0.0000 0.2273
C2 0.0000 0.0000 0.4275
# * DOS(E_F): 5.5 states/eV/cell
# * formation energy: 0.14 eV per atom
# * ΔE to the lowest computed polymorph: 0.1335 eV/atom
# * size of the total moment: 0.000 μB per atom

=====

# 6
# Pm5W2C4 (PBE-GGA, optimized geometry)
data_Pm5W2C4
_cell_length_a 3.276
_cell_length_b 6.523
_cell_length_c 22.486
_cell_angle_alpha 90.00
_cell_angle_beta 90.00
_cell_angle_gamma 90.00
_space_group_name_H-M_alt 'I m m m'
_space_group_IT_number 71
_space_group_name_Hall '-I 2 2'
loop_
_atom_site_label
_atom_site_fract_x
_atom_site_fract_y
_atom_site_fract_z
Pm1 0.000 0.000 0.000
Pm2 0.000 0.251 0.333
W1 0.000 0.500 0.056
C1 0.000 0.168 0.500
C2 0.000 0.500 0.143
# * DOS(E_F): 19.7 states/eV/cell
# * formation energy: 0.45 eV per atom
# * size of the total moment: 0.000 μB per atom

=====

# 7
# PmYC (PBE-GGA, optimized geometry)
data_PmYC
_cell_length_a 8.383
_cell_length_b 10.189
_cell_length_c 12.222
_cell_angle_alpha 90.00
_cell_angle_beta 90.00
_cell_angle_gamma 90.00
_space_group_name_H-M_alt 'F d d d'
_space_group_IT_number 70
loop_
_space_group_symop_operation_xyz
'x,y,z'
'-x,-y,-z'
'-x+1/4,-y+1/4,z'
'x+1/4,y+1/4,-z'
'x,-y+1/4,-z+1/4'
'-x,y+1/4,z+1/4'
'-x+1/4,y,-z+1/4'
'x+1/4,-y,z+1/4'
'x,y+1/2,z+1/2'
'-x,-y+1/2,-z+1/2'
'-x+1/4,-y+3/4,z+1/2'
'x+1/4,y+3/4,-z+1/2'
'x,-y+3/4,-z+3/4'
'-x,y+3/4,z+3/4'
'-x+1/4,y+1/2,-z+3/4'
'x+1/4,-y+1/2,z+3/4'
'x+1/2,y,z+1/2'
'-x+1/2,-y,-z+1/2'
'-x+3/4,-y+1/4,z+1/2'
'x+3/4,y+1/4,-z+1/2'
'x+1/2,-y+1/4,-z+3/4'
'-x+1/2,y+1/4,z+3/4'
'-x+3/4,y,-z+3/4'
'x+3/4,-y,z+3/4'
'x+1/2,y+1/2,z'
'-x+1/2,-y+1/2,-z'
'-x+3/4,-y+3/4,z'
'x+3/4,y+3/4,-z'
'x+1/2,-y+3/4,-z+1/4'
'-x+1/2,y+3/4,z+1/4'
'-x+3/4,y+1/2,-z+1/4'
'x+3/4,-y+1/2,z+1/4'
loop_
_atom_site_label
_atom_site_fract_x
_atom_site_fract_y
_atom_site_fract_z
Pm1 0.000 0.000 0.000
Y1 0.125 0.125 0.490
C1 0.125 0.321 0.625
# * DOS(E_F): 44.2 states/eV/cell
# * formation energy: 0.05 eV per atom
# * ΔE to the lowest computed polymorph: 0.2543 eV/atom
# * size of the total moment: 0.000 μB per atom

=====

# 8
# Pm4Y2C (PBE-GGA, optimized geometry)
data_Pm4Y2C
_cell_length_a 5.031
_cell_length_b 5.031
_cell_length_c 17.733
_cell_angle_alpha 90.00
_cell_angle_beta 90.00
_cell_angle_gamma 90.00
_space_group_name_H-M_alt 'I 4/m m m'
_space_group_IT_number 139
_space_group_name_Hall '-I 4 2'
loop_
_atom_site_label
_atom_site_fract_x
_atom_site_fract_y
_atom_site_fract_z
Pm1 0.000 0.000 0.137
Pm2 0.000 0.500 0.000
Y1 0.000 0.000 0.330
C1 0.000 0.000 0.000
# * DOS(E_F): 20.3 states/eV/cell
# * formation energy: 0.19 eV per atom
# * size of the total moment: 0.000 μB per atom